No. 1
InAsPO2 after structural relaxation, computed with PBE.

The structure in CIF format:
```
data_InAsPO2
_chemical_formula_sum 'In1 As1 P1 O2'
_cell_length_a 4.0471
_cell_length_b 4.0471
_cell_length_c 5.2418
_cell_angle_alpha 90.00
_cell_angle_beta 90.00
_cell_angle_gamma 90.00
_symmetry_space_group_name_H-M 'P 1'
_symmetry_Int_Tables_number 1
_symmetry_space_group_name_Hall 'P 1'
loop_
_atom_site_label
_atom_site_fract_x
_atom_site_fract_y
_atom_site_fract_z
In1 0.0000 0.0000 0.0000
As1 0.5000 0.5000 0.5000
P1 0.0000 0.0000 0.5000
O1 0.0000 0.5000 0.0000
O2 0.5000 0.0000 0.0000
```

## Properties
The magnetic moment is 0.000 μB per atom. The formation energy without anion corrections is 0.214 eV/atom. The volume comes out at 17.2 A^3/atom. The calculation puts the energy above the lowest structure with this stoichiometry at 591.2 meV/atom.

=====

No. 2
CeNp2F8 after structural relaxation, computed with PBE.

The structure in CIF format:
```
data_CeNp2F8
_chemical_formula_sum 'Ce1 Np2 F8'
_cell_length_a 6.9109
_cell_length_b 6.9109
_cell_length_c 6.9109
_cell_angle_alpha 147.13
_cell_angle_beta 122.04
_cell_angle_gamma 68.26
_symmetry_space_group_name_H-M 'P 1'
_symmetry_Int_Tables_number 1
_symmetry_space_group_name_Hall 'P 1'
loop_
_atom_site_label
_atom_site_fract_x
_atom_site_fract_y
_atom_site_fract_z
Ce1 0.0000 0.0000 0.0000
Np1 0.3182 0.3182 0.0000
Np2 0.6818 0.6818 0.0000
F1 0.1145 0.8392 0.2754
F2 0.1452 0.6452 0.5000
F3 0.3065 0.5000 0.8065
F4 0.4362 0.1608 0.2754
F5 0.5638 0.8392 0.7246
F6 0.6935 0.5000 0.1935
F7 0.8548 0.3548 0.5000
F8 0.8855 0.1608 0.7246
```

## Properties
The magnetic moment is 0.909 μB per atom. The formation energy without anion corrections is -3.408 eV/atom. The volume comes out at 13.6 A^3/atom.

=====

- Among the records above, which one has the highest formation energy without anion corrections?
  InAsPO2

=====

- The lowest volume belongs to which entry?
  CeNp2F8

=====

- The highest volume belongs to which entry?
  InAsPO2

=====

- Look up the formation energy without anion corrections of the second one.
  -3.408 eV/atom